Entry from Alexandria via LeMat-Bulk: crystalline Mn2NbPd at its relaxed geometry (GGA-PBE).

The structure belongs to space group I-42d (No. 122); the cell edges are 3.838, 3.838 and 17.902 Å and the angles 90.00°, 90.00° and 90.00°. The asymmetric unit holds Mn at (0.248, 0.250, 0.125), Nb at (0.000, 0.000, 0.000) and Pd at (0.000, 0.000, 0.500).

The total magnetic moment comes out at 5.4 μB per formula unit. For the electronic total energy, the calculation gives -7.948 eV per atom. The calculation puts the calculated volume at 264 Å³ per cell. Its crystal system is tetragonal. Its formation energy is 452 meV/atom.